(1)
The following is a DFT calculation (PBE) of crystalline PrTlHg at its relaxed geometry.

POSCAR file:
```
PrTlHg
1.0
5.396 0.000 0.000
-2.698 4.673 0.000
0.000 0.000 6.661
Pr Tl Hg
2 2 2
direct
0.333 0.667 0.250 Pr
0.667 0.333 0.750 Pr
0.000 0.000 0.000 Tl
0.000 0.000 0.500 Tl
0.333 0.667 0.750 Hg
0.667 0.333 0.250 Hg
```

Output
Its energy of formation is -415 meV/atom. The calculation puts the total energy at -8.69 eV per formula unit.

***

(2)
The following is a DFT calculation (PBE) of crystalline Pr8Tl4Hg3 at its relaxed geometry.

POSCAR file:
```
Pr8Tl4Hg3
1.0
6.443 -6.403 0.000
6.443 6.403 0.000
-4.537 0.000 6.194
Pr Tl Hg
8 4 3
direct
0.214 0.786 0.000 Pr
0.238 0.238 0.485 Pr
0.239 0.239 0.996 Pr
0.248 0.752 0.500 Pr
0.752 0.248 0.500 Pr
0.761 0.761 0.004 Pr
0.762 0.762 0.515 Pr
0.786 0.214 0.000 Pr
0.000 0.500 0.000 Tl
0.500 0.000 0.000 Tl
0.500 0.500 0.000 Tl
0.500 0.500 0.500 Tl
0.000 0.000 0.500 Hg
0.000 0.500 0.500 Hg
0.500 0.000 0.500 Hg
```

Output
Its energy of formation is -183 meV/atom. The calculation puts the total energy at -51.35 eV per formula unit.

***

(3)
The following is a DFT calculation (PBE) of crystalline Pr6Tl3Hg at its relaxed geometry.

POSCAR file:
```
Pr6Tl3Hg
1.0
9.714 0.000 0.000
0.000 5.510 0.000
-3.601 0.000 11.602
Pr Tl Hg
12 6 2
direct
0.033 0.250 0.408 Pr
0.162 0.750 0.177 Pr
0.255 0.250 0.999 Pr
0.350 0.750 0.812 Pr
0.370 0.250 0.346 Pr
0.407 0.250 0.620 Pr
0.593 0.750 0.380 Pr
0.630 0.750 0.654 Pr
0.650 0.250 0.188 Pr
0.745 0.750 0.001 Pr
0.838 0.250 0.823 Pr
0.967 0.750 0.592 Pr
0.033 0.750 0.883 Tl
0.126 0.250 0.716 Tl
0.270 0.750 0.473 Tl
0.730 0.250 0.527 Tl
0.874 0.750 0.284 Tl
0.967 0.250 0.117 Tl
0.457 0.750 0.103 Hg
0.543 0.250 0.897 Hg
```

Output
Its energy of formation is -308 meV/atom. The calculation puts the total energy at -39.16 eV per formula unit. Its energy above the lowest structure with this stoichiometry is 0 meV/atom.

***

(4)
The following is a DFT calculation (PBE) of crystalline PrTlHg2 at its relaxed geometry.

POSCAR file:
```
PrTlHg2
1.0
4.880 0.000 0.000
0.000 4.880 0.000
0.000 0.000 4.537
Pr Tl Hg
1 1 2
direct
0.000 0.000 0.000 Pr
0.500 0.500 0.000 Tl
0.000 0.500 0.500 Hg
0.500 0.000 0.500 Hg
```

Output
Its energy of formation is -343 meV/atom. The calculation puts the total energy at -9.12 eV per formula unit.

***

(5)
The following is a DFT calculation (PBE) of crystalline Pr6TlHg3 at its relaxed geometry.

POSCAR file:
```
Pr6TlHg3
1.0
9.720 0.000 0.000
0.000 5.420 0.000
-3.304 0.000 11.562
Pr Tl Hg
12 2 6
direct
0.026 0.250 0.406 Pr
0.153 0.750 0.182 Pr
0.235 0.250 0.995 Pr
0.343 0.750 0.817 Pr
0.375 0.250 0.345 Pr
0.393 0.250 0.618 Pr
0.607 0.750 0.382 Pr
0.625 0.750 0.655 Pr
0.657 0.250 0.183 Pr
0.765 0.750 0.005 Pr
0.847 0.250 0.818 Pr
0.974 0.750 0.594 Pr
0.450 0.750 0.106 Tl
0.550 0.250 0.894 Tl
0.027 0.750 0.875 Hg
0.119 0.250 0.714 Hg
0.272 0.750 0.472 Hg
0.728 0.250 0.528 Hg
0.881 0.750 0.286 Hg
0.973 0.250 0.125 Hg
```

Output
Its energy of formation is -332 meV/atom. The calculation puts the total energy at -35.27 eV per formula unit.

***

(6)
The following is a DFT calculation (PBE) of crystalline Pr2TlHg at its relaxed geometry.

POSCAR file:
```
Pr2TlHg
1.0
1.961 1.132 9.623
-1.961 1.132 9.623
0.000 -2.264 9.623
Pr Tl Hg
2 1 1
direct
0.000 0.000 0.000 Pr
0.164 0.164 0.164 Pr
0.582 0.582 0.582 Tl
0.748 0.748 0.748 Hg
```

Output
Its energy of formation is -285 meV/atom. The calculation puts the total energy at -13.37 eV per formula unit.

***

(7)
The following is a DFT calculation (PBE) of crystalline Pr7Tl5Hg at its relaxed geometry.

POSCAR file:
```
Pr7Tl5Hg
1.0
-3.453 5.434 5.585
3.453 -5.434 5.585
3.453 5.434 -5.585
Pr Tl Hg
7 5 1
direct
0.000 0.000 0.000 Pr
0.065 0.752 0.314 Pr
0.365 0.365 0.000 Pr
0.438 0.752 0.686 Pr
0.529 0.029 0.500 Pr
0.593 0.270 0.323 Pr
0.947 0.270 0.677 Pr
0.016 0.516 0.500 Tl
0.269 0.267 0.520 Tl
0.269 0.749 0.003 Tl
0.747 0.267 0.997 Tl
0.747 0.749 0.480 Tl
0.705 0.705 0.000 Hg
```

Output
Its energy of formation is -208 meV/atom. The calculation puts the total energy at -48.29 eV per formula unit.

***

(8)
The following is a DFT calculation (PBE) of crystalline PrTl2Hg at its relaxed geometry.

POSCAR file:
```
PrTl2Hg
1.0
1.777 1.026 11.607
-1.777 1.026 11.607
0.000 -2.052 11.607
Pr Tl Hg
1 2 1
direct
0.000 0.000 0.000 Pr
0.093 0.093 0.093 Tl
0.907 0.907 0.907 Tl
0.500 0.500 0.500 Hg
```

Output
Its energy of formation is 93 meV/atom. The calculation puts the total energy at -9.44 eV per formula unit.

***

(9)
The following is a DFT calculation (PBE) of crystalline PrTl2Hg at its relaxed geometry.

POSCAR file:
```
PrTl2Hg
1.0
4.815 0.000 0.000
0.000 4.815 0.000
0.000 0.000 4.777
Pr Tl Hg
1 2 1
direct
0.000 0.000 0.000 Pr
0.000 0.500 0.500 Tl
0.500 0.000 0.500 Tl
0.500 0.500 0.000 Hg
```

Output
Its energy of formation is -328 meV/atom. The calculation puts the total energy at -11.12 eV per formula unit.

***

(10)
The following is a DFT calculation (PBE) of crystalline Pr3Tl2Hg3 at its relaxed geometry.

POSCAR file:
```
Pr3Tl2Hg3
1.0
8.600 0.000 0.000
-4.300 7.448 0.000
0.000 0.000 3.706
Pr Tl Hg
3 2 3
direct
0.000 0.337 0.000 Pr
0.337 0.000 0.000 Pr
0.663 0.663 0.000 Pr
0.333 0.667 0.500 Tl
0.667 0.333 0.500 Tl
0.000 0.710 0.500 Hg
0.290 0.290 0.500 Hg
0.710 0.000 0.500 Hg
```

Output
Its energy of formation is -322 meV/atom. The calculation puts the total energy at -22.55 eV per formula unit. Its energy above the lowest structure with this stoichiometry is 9 meV/atom.

***

(11)
The following is a DFT calculation (PBE) of crystalline Pr5Tl4Hg at its relaxed geometry.

POSCAR file:
```
Pr5Tl4Hg
1.0
3.880 0.000 0.000
0.000 3.880 0.000
0.000 0.000 20.048
Pr Tl Hg
5 4 1
direct
0.000 0.000 0.000 Pr
0.000 0.000 0.202 Pr
0.000 0.000 0.404 Pr
0.000 0.000 0.596 Pr
0.000 0.000 0.798 Pr
0.500 0.500 0.101 Tl
0.500 0.500 0.304 Tl
0.500 0.500 0.696 Tl
0.500 0.500 0.899 Tl
0.500 0.500 0.500 Hg
```

Output
Its energy of formation is -407 meV/atom. The calculation puts the total energy at -37.74 eV per formula unit.

***

(12)
The following is a DFT calculation (PBE) of crystalline Pr7TlHg3 at its relaxed geometry.

POSCAR file:
```
Pr7TlHg3
1.0
5.839 -5.861 0.000
5.839 5.861 0.000
-3.039 0.000 5.148
Pr Tl Hg
7 1 3
direct
0.000 0.000 0.000 Pr
0.100 0.553 0.326 Pr
0.321 0.321 0.821 Pr
0.447 0.900 0.674 Pr
0.553 0.100 0.326 Pr
0.679 0.679 0.179 Pr
0.900 0.447 0.674 Pr
0.000 0.000 0.500 Tl
0.270 0.730 0.000 Hg
0.500 0.500 0.500 Hg
0.730 0.270 0.000 Hg
```

Output
Its energy of formation is -202 meV/atom. The calculation puts the total energy at -38.95 eV per formula unit.

***

Number 1: total magnetization 0.00 μB/cell, calculated density 10.8 g/cm³. Number 2: total magnetization 0.00 μB/cell, calculated density 8.3 g/cm³. Number 3: total magnetization 0.00 μB/cell, calculated density 8.9 g/cm³. Number 4: total magnetization 0.00 μB/cell, calculated density 11.5 g/cm³. Number 5: total magnetization 0.00 μB/cell, calculated density 9.0 g/cm³. Number 6: total magnetization 0.00 μB/cell, calculated density 8.9 g/cm³. Number 7: total magnetization 0.00 μB/cell, calculated density 8.8 g/cm³. Number 8: total magnetization 0.00 μB/cell, calculated density 9.8 g/cm³. Number 9: total magnetization 0.00 μB/cell, calculated density 11.3 g/cm³. Number 10: total magnetization 0.00 μB/cell, calculated density 10.0 g/cm³. Number 11: total magnetization 0.31 μB/cell, calculated density 9.5 g/cm³. Number 12: total magnetization 0.00 μB/cell, calculated density 8.4 g/cm³.